(1)
Na3TaAu | PBE | relaxed

Values from the calculation:
N(E_F): 2.154 states/eV per atom
E above lowest polymorph: 1.929 eV per formula unit
E_form: 1.516 eV/atom
Size of the total moment: 1.00 μB/atom

a b c (Å): 5.904 5.904 5.904
angles (deg): 90.00 90.00 90.00
Fractional coordinates of all 5 atoms:
Na: 0.000 0.000 0.500
Na: 0.000 0.500 0.000
Na: 0.500 0.000 0.000
Ta: 0.000 0.000 0.000
Au: 0.500 0.500 0.500

---

(2)
NaTaAu3 | PBE | relaxed

Values from the calculation:
N(E_F): 0.613 states/eV per atom
E above lowest polymorph: 0.000 eV per formula unit
E_form: 0.456 eV/atom
Size of the total moment: 0.00 μB/atom

a b c (Å): 5.190 5.190 5.190
angles (deg): 90.00 90.00 90.00
Fractional coordinates of all 5 atoms:
Na: 0.000 0.000 0.000
Ta: 0.500 0.500 0.500
Au: 0.000 0.500 0.500
Au: 0.500 0.000 0.500
Au: 0.500 0.500 0.000

---

(3)
Na2TaAu | PBE | relaxed

Values from the calculation:
N(E_F): 0.869 states/eV per atom
E above lowest polymorph: 0.633 eV per formula unit
E_form: 1.079 eV/atom
Size of the total moment: 0.88 μB/atom

a b c (Å): 4.987 4.987 4.987
angles (deg): 60.00 60.00 60.00
Fractional coordinates of all 4 atoms:
Na: 0.250 0.250 0.250
Na: 0.750 0.750 0.750
Ta: 0.000 0.000 0.000
Au: 0.500 0.500 0.500

---

(4)
NaTaAu2 | PBE | relaxed

Values from the calculation:
N(E_F): 1.056 states/eV per atom
E_form: 0.553 eV/atom
Size of the total moment: 0.21 μB/atom

a b c (Å): 6.167 6.167 6.167
angles (deg): 106.02 106.02 116.62
Fractional coordinates of all 8 atoms:
Na: 0.000 0.000 0.000
Na: 0.750 0.250 0.500
Ta: 0.250 0.750 0.500
Ta: 0.500 0.500 0.000
Au: 0.153 0.625 0.028
Au: 0.375 0.403 0.528
Au: 0.597 0.125 0.972
Au: 0.875 0.847 0.472

---

(5)
NaTa3Au | PBE | relaxed

Values from the calculation:
N(E_F): 2.415 states/eV per atom
E above lowest polymorph: 0.000 eV per formula unit
E_form: 1.800 eV/atom
Size of the total moment: 0.00 μB/atom

a b c (Å): 5.036 5.036 5.036
angles (deg): 90.00 90.00 90.00
Fractional coordinates of all 5 atoms:
Na: 0.000 0.000 0.000
Ta: 0.000 0.500 0.500
Ta: 0.500 0.000 0.500
Ta: 0.500 0.500 0.000
Au: 0.500 0.500 0.500

---

(6)
Na3TaAu | PBE | relaxed

Values from the calculation:
N(E_F): 0.950 states/eV per atom
E above lowest polymorph: 0.000 eV per formula unit
E_form: 1.130 eV/atom
Size of the total moment: 0.93 μB/atom

a b c (Å): 5.446 5.446 5.446
angles (deg): 90.00 90.00 90.00
Fractional coordinates of all 5 atoms:
Na: 0.000 0.000 0.500
Na: 0.000 0.500 0.000
Na: 0.500 0.000 0.000
Ta: 0.500 0.500 0.500
Au: 0.000 0.000 0.000

---

(7)
NaTa3Au | PBE | relaxed

Values from the calculation:
N(E_F): 1.786 states/eV per atom
E above lowest polymorph: 2.202 eV per formula unit
E_form: 2.240 eV/atom
Size of the total moment: 0.00 μB/atom

a b c (Å): 4.632 4.632 4.632
angles (deg): 90.00 90.00 90.00
Fractional coordinates of all 5 atoms:
Na: 0.000 0.000 0.000
Ta: 0.000 0.000 0.500
Ta: 0.000 0.500 0.000
Ta: 0.500 0.000 0.000
Au: 0.500 0.500 0.500

---

(8)
NaTa2VAu | PBE | relaxed

Values from the calculation:
N(E_F): 0.671 states/eV per atom
E_form: 1.271 eV/atom
Size of the total moment: 0.00 μB/atom

a b c (Å): 4.583 4.583 5.099
angles (deg): 90.00 90.00 90.00
Fractional coordinates of all 5 atoms:
Na: 0.000 0.000 0.000
Ta: 0.000 0.500 0.500
Ta: 0.500 0.000 0.500
V: 0.000 0.000 0.500
Au: 0.500 0.500 0.000

---

(9)
NaTbAu2 | PBE | relaxed

Values from the calculation:
N(E_F): 0.832 states/eV per atom
E_form: -0.467 eV/atom
Size of the total moment: 0.00 μB/atom

a b c (Å): 7.936 7.936 7.936
angles (deg): 29.35 29.35 29.35
Fractional coordinates of all 4 atoms:
Na: 0.000 0.000 0.000
Tb: 0.500 0.500 0.500
Au: 0.245 0.245 0.245
Au: 0.755 0.755 0.755

---

(10)
NaTbAu2 | PBE | relaxed

Values from the calculation:
N(E_F): 0.567 states/eV per atom
E_form: -0.602 eV/atom
Size of the total moment: 0.00 μB/atom

a b c (Å): 3.608 3.608 7.329
angles (deg): 90.00 90.00 90.00
Fractional coordinates of all 4 atoms:
Na: 0.000 0.000 0.000
Tb: 0.000 0.000 0.500
Au: 0.500 0.500 0.279
Au: 0.500 0.500 0.721

---

(11)
NaTb2Au4 | PBE | relaxed

Values from the calculation:
N(E_F): 0.671 states/eV per atom
E_form: -0.574 eV/atom
Size of the total moment: 0.00 μB/atom

a b c (Å): 5.148 5.148 8.189
angles (deg): 106.32 106.32 53.53
Fractional coordinates of all 7 atoms:
Na: 0.000 0.000 0.000
Tb: 0.276 0.276 0.724
Tb: 0.724 0.724 0.276
Au: 0.068 0.068 0.366
Au: 0.364 0.364 0.132
Au: 0.636 0.636 0.868
Au: 0.932 0.932 0.634

---

(12)
NaTbAu | PBE | relaxed

Values from the calculation:
N(E_F): 0.478 states/eV per atom
E_form: -0.385 eV/atom
Size of the total moment: 0.00 μB/atom

a b c (Å): 3.944 5.505 8.028
angles (deg): 95.05 90.07 110.96
Fractional coordinates of all 6 atoms:
Na: 0.000 0.000 0.000
Na: 0.284 0.569 0.125
Tb: 0.334 0.670 0.674
Tb: 0.601 0.202 0.413
Au: 0.645 0.288 0.783
Au: 0.889 0.777 0.401

---

What is the N(E_F) in the seventh record? 1.786 states/eV per atom

---

Among the records above, which one has the lowest E_form? number 10

---

Which value of size of the total moment does entry 8 give? 0.00 μB/atom